Entry 1:
ReMo2RhN | GGA-PBE | relaxed

CIF file:
```
data_ReMo2RhN
_chemical_formula_sum 'Re1 Mo2 Rh1 N1'
_cell_length_a 4.106
_cell_length_b 4.106
_cell_length_c 4.025
_cell_angle_alpha 90.00
_cell_angle_beta 90.00
_cell_angle_gamma 90.00
_symmetry_space_group_name_H-M 'P 4/m m m'
_symmetry_Int_Tables_number 123
_symmetry_space_group_name_Hall '-P 4 2'
loop_
_atom_site_label
_atom_site_fract_x
_atom_site_fract_y
_atom_site_fract_z
Re1 0.000 0.000 0.000
Mo1 0.000 0.500 0.500
Rh1 0.500 0.500 0.000
N1 0.000 0.000 0.500
```

uncorrected energy	-10.02	eV/atom
calculated density	12.1	g/cm³
ΔE_f (raw)	-67.6	meV/atom


Entry 2:
ReMo2RuN | GGA-PBE | relaxed

CIF file:
```
data_ReMo2RuN
_chemical_formula_sum 'Re1 Mo2 Ru1 N1'
_cell_length_a 4.102
_cell_length_b 4.102
_cell_length_c 4.025
_cell_angle_alpha 90.00
_cell_angle_beta 90.00
_cell_angle_gamma 90.00
_symmetry_space_group_name_H-M 'P 4/m m m'
_symmetry_Int_Tables_number 123
_symmetry_space_group_name_Hall '-P 4 2'
loop_
_atom_site_label
_atom_site_fract_x
_atom_site_fract_y
_atom_site_fract_z
Re1 0.000 0.000 0.000
Mo1 0.000 0.500 0.500
Ru1 0.500 0.500 0.000
N1 0.000 0.000 0.500
```

uncorrected energy	-10.33	eV/atom
calculated density	12.1	g/cm³
ΔE_f (raw)	11.2	meV/atom


Entry 3:
ReMo2SN | GGA-PBE | relaxed

CIF file:
```
data_ReMo2SN
_chemical_formula_sum 'Re1 Mo2 S1 N1'
_cell_length_a 4.390
_cell_length_b 4.390
_cell_length_c 4.300
_cell_angle_alpha 90.00
_cell_angle_beta 90.00
_cell_angle_gamma 90.00
_symmetry_space_group_name_H-M 'P 4/m m m'
_symmetry_Int_Tables_number 123
_symmetry_space_group_name_Hall '-P 4 2'
loop_
_atom_site_label
_atom_site_fract_x
_atom_site_fract_y
_atom_site_fract_z
Re1 0.000 0.000 0.000
Mo1 0.000 0.500 0.500
S1 0.000 0.000 0.500
N1 0.500 0.500 0.000
```

uncorrected energy	-7.51	eV/atom
calculated density	8.5	g/cm³
ΔE_f (raw)	1803.5	meV/atom


Entry 4:
ReMoSe2N | GGA-PBE | relaxed

CIF file:
```
data_ReMoSe2N
_chemical_formula_sum 'Re1 Mo1 Se2 N1'
_cell_length_a 5.060
_cell_length_b 5.060
_cell_length_c 3.750
_cell_angle_alpha 90.00
_cell_angle_beta 90.00
_cell_angle_gamma 90.00
_symmetry_space_group_name_H-M 'P 4/m m m'
_symmetry_Int_Tables_number 123
_symmetry_space_group_name_Hall '-P 4 2'
loop_
_atom_site_label
_atom_site_fract_x
_atom_site_fract_y
_atom_site_fract_z
Re1 0.000 0.000 0.000
Mo1 0.500 0.500 0.500
Se1 0.000 0.500 0.500
N1 0.500 0.500 0.000
```

polymorph energy (0 for the lowest one)	292	meV per atom
uncorrected energy	-6.67	eV/atom
calculated density	7.9	g/cm³
ΔE_f (raw)	1044.2	meV/atom


Entry 5:
ReMoSe2N | GGA-PBE | relaxed

CIF file:
```
data_ReMoSe2N
_chemical_formula_sum 'Re1 Mo1 Se2 N1'
_cell_length_a 5.058
_cell_length_b 5.058
_cell_length_c 3.715
_cell_angle_alpha 90.00
_cell_angle_beta 90.00
_cell_angle_gamma 90.00
_symmetry_space_group_name_H-M 'P 4/m m m'
_symmetry_Int_Tables_number 123
_symmetry_space_group_name_Hall '-P 4 2'
loop_
_atom_site_label
_atom_site_fract_x
_atom_site_fract_y
_atom_site_fract_z
Re1 0.000 0.000 0.000
Mo1 0.500 0.500 0.500
Se1 0.000 0.500 0.000
N1 0.000 0.000 0.500
```

polymorph energy (0 for the lowest one)	0	meV per atom
uncorrected energy	-6.96	eV/atom
calculated density	7.9	g/cm³
ΔE_f (raw)	752.1	meV/atom


Entry 6:
Sr2ReMoN5 | GGA-PBE | relaxed

CIF file:
```
data_Sr2ReMoN5
_chemical_formula_sum 'Sr8 Re4 Mo4 N20'
_cell_length_a 3.337
_cell_length_b 14.836
_cell_length_c 10.837
_cell_angle_alpha 90.00
_cell_angle_beta 90.00
_cell_angle_gamma 90.00
_symmetry_space_group_name_H-M 'C m c 21'
_symmetry_Int_Tables_number 36
loop_
_symmetry_equiv_pos_as_xyz
'x,y,z'
'-x,-y,z+1/2'
'-x,y,z'
'x,-y,z+1/2'
'x+1/2,y+1/2,z'
'-x+1/2,-y+1/2,z+1/2'
'-x+1/2,y+1/2,z'
'x+1/2,-y+1/2,z+1/2'
loop_
_atom_site_label
_atom_site_fract_x
_atom_site_fract_y
_atom_site_fract_z
Sr1 0.000 0.113 0.000
Sr2 0.000 0.142 0.632
Re1 0.000 0.445 0.769
Mo1 0.000 0.221 0.352
N1 0.000 0.044 0.354
N2 0.000 0.289 0.967
N3 0.000 0.322 0.721
N4 0.000 0.340 0.327
N5 0.000 0.498 0.124
```

uncorrected energy	-8.08	eV/atom
calculated density	6.5	g/cm³
ΔE_f (raw)	-495.1	meV/atom


Entry 7:
Ta2ReMoN | GGA-PBE | relaxed

CIF file:
```
data_Ta2ReMoN
_chemical_formula_sum 'Ta2 Re1 Mo1 N1'
_cell_length_a 4.964
_cell_length_b 4.964
_cell_length_c 3.717
_cell_angle_alpha 90.00
_cell_angle_beta 90.00
_cell_angle_gamma 90.00
_symmetry_space_group_name_H-M 'P 4/m m m'
_symmetry_Int_Tables_number 123
_symmetry_space_group_name_Hall '-P 4 2'
loop_
_atom_site_label
_atom_site_fract_x
_atom_site_fract_y
_atom_site_fract_z
Ta1 0.000 0.500 0.000
Re1 0.000 0.000 0.500
Mo1 0.500 0.500 0.000
N1 0.500 0.500 0.500
```

uncorrected energy	-9.49	eV/atom
calculated density	11.9	g/cm³
ΔE_f (raw)	1574.7	meV/atom


Entry 8:
Tb2ReMoN6 | GGA-PBE | relaxed

CIF file:
```
data_Tb2ReMoN6
_chemical_formula_sum 'Tb2 Re1 Mo1 N6'
_cell_length_a 5.411
_cell_length_b 5.411
_cell_length_c 4.669
_cell_angle_alpha 90.00
_cell_angle_beta 90.00
_cell_angle_gamma 90.00
_symmetry_space_group_name_H-M 'P 4 m m'
_symmetry_Int_Tables_number 99
loop_
_symmetry_equiv_pos_as_xyz
'x,y,z'
'-y,x,z'
'-x,-y,z'
'y,-x,z'
'-x,y,z'
'y,x,z'
'x,-y,z'
'-y,-x,z'
loop_
_atom_site_label
_atom_site_fract_x
_atom_site_fract_y
_atom_site_fract_z
Tb1 0.000 0.500 0.000
Re1 0.000 0.000 0.592
Mo1 0.500 0.500 0.591
N1 0.000 0.000 0.214
N2 0.247 0.247 0.719
N3 0.500 0.500 0.210
```

uncorrected energy	-8.96	eV/atom
calculated density	8.3	g/cm³
ΔE_f (raw)	-714.2	meV/atom


Entry 9:
Re2TcMoN | GGA-PBE | relaxed

CIF file:
```
data_Re2TcMoN
_chemical_formula_sum 'Re2 Tc1 Mo1 N1'
_cell_length_a 4.048
_cell_length_b 4.048
_cell_length_c 4.112
_cell_angle_alpha 90.00
_cell_angle_beta 90.00
_cell_angle_gamma 90.00
_symmetry_space_group_name_H-M 'P 4/m m m'
_symmetry_Int_Tables_number 123
_symmetry_space_group_name_Hall '-P 4 2'
loop_
_atom_site_label
_atom_site_fract_x
_atom_site_fract_y
_atom_site_fract_z
Re1 0.000 0.500 0.000
Tc1 0.000 0.000 0.500
Mo1 0.500 0.500 0.500
N1 0.500 0.500 0.000
```

uncorrected energy	-10.76	eV/atom
calculated density	14.3	g/cm³
ΔE_f (raw)	125.0	meV/atom


Entry 10:
ReTcMo2N | GGA-PBE | relaxed

CIF file:
```
data_ReTcMo2N
_chemical_formula_sum 'Re1 Tc1 Mo2 N1'
_cell_length_a 4.108
_cell_length_b 4.108
_cell_length_c 4.042
_cell_angle_alpha 90.00
_cell_angle_beta 90.00
_cell_angle_gamma 90.00
_symmetry_space_group_name_H-M 'P 4/m m m'
_symmetry_Int_Tables_number 123
_symmetry_space_group_name_Hall '-P 4 2'
loop_
_atom_site_label
_atom_site_fract_x
_atom_site_fract_y
_atom_site_fract_z
Re1 0.000 0.000 0.000
Tc1 0.500 0.500 0.000
Mo1 0.000 0.500 0.500
N1 0.000 0.000 0.500
```

polymorph energy (0 for the lowest one)	36	meV per atom
uncorrected energy	-10.55	eV/atom
calculated density	11.9	g/cm³
ΔE_f (raw)	13.8	meV/atom


Entry 11:
ReTcMo2N | GGA-PBE | relaxed

CIF file:
```
data_ReTcMo2N
_chemical_formula_sum 'Re1 Tc1 Mo2 N1'
_cell_length_a 4.104
_cell_length_b 4.104
_cell_length_c 4.034
_cell_angle_alpha 90.00
_cell_angle_beta 90.00
_cell_angle_gamma 90.00
_symmetry_space_group_name_H-M 'P 4/m m m'
_symmetry_Int_Tables_number 123
_symmetry_space_group_name_Hall '-P 4 2'
loop_
_atom_site_label
_atom_site_fract_x
_atom_site_fract_y
_atom_site_fract_z
Re1 0.000 0.000 0.000
Tc1 0.500 0.500 0.000
Mo1 0.000 0.500 0.500
N1 0.500 0.500 0.500
```

polymorph energy (0 for the lowest one)	0	meV per atom
uncorrected energy	-10.58	eV/atom
calculated density	12.0	g/cm³
ΔE_f (raw)	-22.3	meV/atom


Entry 12:
ReMoW2N | GGA-PBE | relaxed

CIF file:
```
data_ReMoW2N
_chemical_formula_sum 'Re1 Mo1 W2 N1'
_cell_length_a 4.113
_cell_length_b 4.113
_cell_length_c 4.115
_cell_angle_alpha 90.00
_cell_angle_beta 90.00
_cell_angle_gamma 90.00
_symmetry_space_group_name_H-M 'P 4/m m m'
_symmetry_Int_Tables_number 123
_symmetry_space_group_name_Hall '-P 4 2'
loop_
_atom_site_label
_atom_site_fract_x
_atom_site_fract_y
_atom_site_fract_z
Re1 0.000 0.000 0.000
Mo1 0.500 0.500 0.000
W1 0.000 0.500 0.500
N1 0.500 0.500 0.500
```

uncorrected energy	-11.47	eV/atom
calculated density	15.8	g/cm³
ΔE_f (raw)	28.0	meV/atom